# 1
# PaZn2Pd8 | the Alexandria database | GGA-PBE | relaxed
data_PaZn2Pd8
_space_group_name_H-M_alt 'C 1 2/m 1'
_space_group_IT_number 12
_cell_length_a 13.977
_cell_length_b 4.188
_cell_length_c 6.415
_cell_angle_alpha 90.00
_cell_angle_beta 109.80
_cell_angle_gamma 90.00
loop_
_space_group_symop_operation_xyz
'x,y,z'
'-x,-y,-z'
'-x,y,-z'
'x,-y,z'
'x+1/2,y+1/2,z'
'-x+1/2,-y+1/2,-z'
'-x+1/2,y+1/2,-z'
'x+1/2,-y+1/2,z'
loop_
_atom_site_label
_atom_site_type_symbol
_atom_site_fract_x
_atom_site_fract_y
_atom_site_fract_z
Pa1 Pa 0.000 0.000 0.000
Zn1 Zn 0.219 0.500 0.649
Pd1 Pd 0.043 0.500 0.730
Pd2 Pd 0.100 0.000 0.462
Pd3 Pd 0.149 0.500 0.210
Pd4 Pd 0.181 0.000 0.929
# Spin magnetization   0.000 μB per atom
# Total DFT energy (no corrections)   -119.31 eV/cell

# 2
# RbU2SbS8 | the Alexandria database | GGA-PBE | relaxed
data_RbU2SbS8
_space_group_name_H-M_alt 'C 1 m 1'
_space_group_IT_number 8
_cell_length_a 7.936
_cell_length_b 11.125
_cell_length_c 7.870
_cell_angle_alpha 90.00
_cell_angle_beta 104.68
_cell_angle_gamma 90.00
loop_
_space_group_symop_operation_xyz
'x,y,z'
'x,-y,z'
'x+1/2,y+1/2,z'
'x+1/2,-y+1/2,z'
loop_
_atom_site_label
_atom_site_type_symbol
_atom_site_fract_x
_atom_site_fract_y
_atom_site_fract_z
Rb1 Rb 0.000 0.000 0.000
U1 U 0.366 0.250 0.466
Sb1 Sb 0.048 0.500 0.192
S1 S 0.055 0.258 0.223
S2 S 0.172 0.337 0.692
S3 S 0.173 0.151 0.685
S4 S 0.344 0.500 0.386
S5 S 0.348 0.000 0.385
# Spin magnetization   0.333 μB per atom
# Uncorrected formation energy   -979 meV per atom

# 3
# Cs4Tl2Pb5 | the Alexandria database | GGA-PBE | relaxed
data_Cs4Tl2Pb5
_space_group_name_H-M_alt 'P 1 2/m 1'
_space_group_IT_number 10
_cell_length_a 8.180
_cell_length_b 6.572
_cell_length_c 9.690
_cell_angle_alpha 90.00
_cell_angle_beta 100.99
_cell_angle_gamma 90.00
loop_
_space_group_symop_operation_xyz
'x,y,z'
'-x,-y,-z'
'-x,y,-z'
'x,-y,z'
loop_
_atom_site_label
_atom_site_type_symbol
_atom_site_fract_x
_atom_site_fract_y
_atom_site_fract_z
Cs1 Cs 0.226 0.000 0.166
Cs2 Cs 0.244 0.000 0.651
Tl1 Tl 0.500 0.500 0.162
Pb1 Pb 0.106 0.500 0.388
Pb2 Pb 0.125 0.500 0.900
Pb3 Pb 0.500 0.500 0.500
# Spin magnetization   0.000 μB per atom
# Total DFT energy (no corrections)   -27.81 eV/cell

# 4
# TiBeTl3 | the Alexandria database | GGA-PBE | relaxed
data_TiBeTl3
_space_group_name_H-M_alt 'P m -3 m'
_space_group_IT_number 221
_space_group_name_Hall '-P 4 2 3'
_cell_length_a 5.484
_cell_length_b 5.484
_cell_length_c 5.484
_cell_angle_alpha 90.00
_cell_angle_beta 90.00
_cell_angle_gamma 90.00
loop_
_atom_site_label
_atom_site_type_symbol
_atom_site_fract_x
_atom_site_fract_y
_atom_site_fract_z
Ti1 Ti 0.000 0.000 0.000
Be1 Be 0.500 0.500 0.500
Tl1 Tl 0.000 0.000 0.500
# Spin magnetization   0.178 μB per atom
# Total DFT energy (no corrections)   -13.63 eV/cell

# 5
# Ba2LiGaPd | the Alexandria database | GGA-PBE | relaxed
data_Ba2LiGaPd
_space_group_name_H-M_alt 'P 4/m m m'
_space_group_IT_number 123
_space_group_name_Hall '-P 4 2'
_cell_length_a 6.217
_cell_length_b 6.217
_cell_length_c 4.913
_cell_angle_alpha 90.00
_cell_angle_beta 90.00
_cell_angle_gamma 90.00
loop_
_atom_site_label
_atom_site_type_symbol
_atom_site_fract_x
_atom_site_fract_y
_atom_site_fract_z
Ba1 Ba 0.000 0.500 0.000
Li1 Li 0.000 0.000 0.500
Ga1 Ga 0.500 0.500 0.500
Pd1 Pd 0.500 0.500 0.000
# Spin magnetization   0.000 μB per atom
# Total DFT energy (no corrections)   -15.30 eV/cell

# 6
# PrNd6Ga | the Alexandria database | GGA-PBE | relaxed
data_PrNd6Ga
_space_group_name_H-M_alt 'C 1 2/m 1'
_space_group_IT_number 12
_cell_length_a 7.059
_cell_length_b 12.422
_cell_length_c 7.033
_cell_angle_alpha 90.00
_cell_angle_beta 119.77
_cell_angle_gamma 90.00
loop_
_space_group_symop_operation_xyz
'x,y,z'
'-x,-y,-z'
'-x,y,-z'
'x,-y,z'
'x+1/2,y+1/2,z'
'-x+1/2,-y+1/2,-z'
'-x+1/2,y+1/2,-z'
'x+1/2,-y+1/2,z'
loop_
_atom_site_label
_atom_site_type_symbol
_atom_site_fract_x
_atom_site_fract_y
_atom_site_fract_z
Pr1 Pr 0.000 0.000 0.000
Nd1 Nd 0.025 0.216 0.740
Nd2 Nd 0.033 0.500 0.268
Ga1 Ga 0.000 0.000 0.500
# Spin magnetization   0.000 μB per atom
# Total DFT energy (no corrections)   -71.03 eV/cell

# 7
# LaSm10Sc4 | the Alexandria database | GGA-PBE | relaxed
data_LaSm10Sc4
_space_group_name_H-M_alt 'I 4/m'
_space_group_IT_number 87
_space_group_name_Hall '-I 4'
_cell_length_a 12.272
_cell_length_b 12.272
_cell_length_c 6.849
_cell_angle_alpha 90.00
_cell_angle_beta 90.00
_cell_angle_gamma 90.00
loop_
_atom_site_label
_atom_site_type_symbol
_atom_site_fract_x
_atom_site_fract_y
_atom_site_fract_z
La1 La 0.000 0.000 0.000
Sm1 Sm 0.000 0.500 0.250
Sm2 Sm 0.123 0.720 0.243
Sc1 Sc 0.069 0.179 0.500
# Spin magnetization   0.041 μB per atom
# Total DFT energy (no corrections)   -139.00 eV/cell

# 8
# LaOsPt2 | the Alexandria database | GGA-PBE | relaxed
data_LaOsPt2
_space_group_name_H-M_alt 'I -4 2 d'
_space_group_IT_number 122
_space_group_name_Hall 'I -4 2bw'
_cell_length_a 4.749
_cell_length_b 4.749
_cell_length_c 17.430
_cell_angle_alpha 90.00
_cell_angle_beta 90.00
_cell_angle_gamma 90.00
loop_
_atom_site_label
_atom_site_type_symbol
_atom_site_fract_x
_atom_site_fract_y
_atom_site_fract_z
La1 La 0.000 0.000 0.000
Os1 Os 0.000 0.000 0.500
Pt1 Pt 0.095 0.250 0.625
# Spin magnetization   0.000 μB per atom
# Total DFT energy (no corrections)   -113.34 eV/cell